[1]
The following is a PBE-GGA calculation of a relaxed structure of RhSe2I, from the Alexandria database.

abc: 5.0977 6.7245 7.0230
angles: 104.73 102.53 105.01
Sites, in units of the cell vectors:
Rh 0.0000 0.0000 0.0000
Rh 0.1479 0.8334 0.4702
Se 0.2541 0.1691 0.7755
Se 0.4203 0.0177 0.2776
Se 0.6369 0.0419 0.7341
Se 0.7198 0.7895 0.1790
I 0.1628 0.4152 0.2945
I 0.9317 0.6266 0.7224

Output
Total energy   -4.14 eV/atom
E_form (uncorrected)   -0.17 eV per atom
Density of states at the Fermi level   0.000 states/eV/cell


[2]
The following is a PBE-GGA calculation of a relaxed structure of RhSe2I, from the Alexandria database.

abc: 3.8577 7.2918 8.2150
angles: 96.24 102.93 90.25
Sites, in units of the cell vectors:
Rh 0.0000 0.0000 0.0000
Rh 0.3195 0.8061 0.6173
Se 0.4029 0.5923 0.3556
Se 0.4656 0.7867 0.9322
Se 0.8211 0.5753 0.6000
Se 0.8632 0.0245 0.6977
I 0.0911 0.0103 0.3448
I 0.5187 0.2697 0.0397

Output
Total energy   -4.16 eV/atom
E_form (uncorrected)   -0.19 eV per atom
Density of states at the Fermi level   0.000 states/eV/cell


[3]
The following is a PBE-GGA calculation of a relaxed structure of RhSe2I, from the Alexandria database.

abc: 5.7486 10.3690 6.4701
angles: 90.00 90.00 90.00
Sites, in units of the cell vectors:
Rh 0.1014 0.1429 0.0000
Rh 0.3986 0.6429 0.5000
Rh 0.6014 0.3571 0.0000
Rh 0.8986 0.8571 0.5000
Se 0.0410 0.6722 0.7193
Se 0.2075 0.9917 0.6905
Se 0.2925 0.4917 0.1905
Se 0.4590 0.1722 0.2193
Se 0.5410 0.8278 0.7193
Se 0.7075 0.5083 0.6905
Se 0.7925 0.0083 0.1905
Se 0.9590 0.3278 0.2193
I 0.2475 0.3327 0.7352
I 0.2525 0.8327 0.2352
I 0.7475 0.1673 0.7352
I 0.7525 0.6673 0.2352

Output
Total energy   -4.05 eV/atom
E_form (uncorrected)   -0.08 eV per atom
Density of states at the Fermi level   0.504 states/eV/cell


[4]
The following is a PBE-GGA calculation of a relaxed structure of RhSe2I, from the Alexandria database.

abc: 7.1525 5.2944 12.3308
angles: 90.00 103.41 90.00
Sites, in units of the cell vectors:
Rh 0.0887 0.0143 0.4054
Rh 0.0887 0.4857 0.9054
Rh 0.9113 0.5143 0.0946
Rh 0.9113 0.9857 0.5946
Se 0.1154 0.6692 0.5362
Se 0.1154 0.8308 0.0362
Se 0.3990 0.1524 0.5246
Se 0.3990 0.3476 0.0246
Se 0.6010 0.6524 0.9754
Se 0.6010 0.8476 0.4754
Se 0.8846 0.1692 0.9638
Se 0.8846 0.3308 0.4638
I 0.2082 0.1934 0.7515
I 0.2082 0.3066 0.2515
I 0.7918 0.6934 0.7485
I 0.7918 0.8066 0.2485

Output
Total energy   -4.08 eV/atom
E_form (uncorrected)   -0.11 eV per atom
Density of states at the Fermi level   14.340 states/eV/cell


[5]
The following is a PBE-GGA calculation of a relaxed structure of RhSeI2, from the Alexandria database.

abc: 5.0969 5.0969 5.0969
angles: 60.00 60.00 60.00
Sites, in units of the cell vectors:
Rh 0.0000 0.0000 0.0000
Se 0.5000 0.5000 0.5000
I 0.2500 0.2500 0.2500
I 0.7500 0.7500 0.7500

Output
Total energy   -2.66 eV/atom
E_form (uncorrected)   0.82 eV per atom
Density of states at the Fermi level   4.722 states/eV/cell


[6]
The following is a PBE-GGA calculation of a relaxed structure of RhSe2I, from the Alexandria database.

abc: 3.8892 3.8892 7.8465
angles: 90.00 90.00 120.00
Sites, in units of the cell vectors:
Rh 0.0000 0.0000 0.0000
Se 0.3333 0.6667 0.8676
Se 0.6667 0.3333 0.1636
I 0.3333 0.6667 0.5342

Output
Total energy   -4.18 eV/atom
E_form (uncorrected)   -0.21 eV per atom
Density of states at the Fermi level   1.079 states/eV/cell


[7]
The following is a PBE-GGA calculation of a relaxed structure of RhSe2I, from the Alexandria database.

abc: 3.8870 6.3724 9.6199
angles: 90.00 96.05 90.00
Sites, in units of the cell vectors:
Rh 0.2363 0.2500 0.4082
Rh 0.7637 0.7500 0.5918
Se 0.2698 0.0027 0.6235
Se 0.2698 0.4973 0.6235
Se 0.7302 0.5027 0.3765
Se 0.7302 0.9973 0.3765
I 0.2764 0.2500 0.1271
I 0.7236 0.7500 0.8729

Output
Total energy   -4.14 eV/atom
E_form (uncorrected)   -0.17 eV per atom
Density of states at the Fermi level   0.015 states/eV/cell


[8]
The following is a PBE-GGA calculation of a relaxed structure of RhSeI3, from the Alexandria database.

abc: 5.3506 5.3506 5.3506
angles: 90.00 90.00 90.00
Sites, in units of the cell vectors:
Rh 0.0000 0.0000 0.0000
Se 0.5000 0.5000 0.5000
I 0.0000 0.0000 0.5000
I 0.0000 0.5000 0.0000
I 0.5000 0.0000 0.0000

Output
Total energy   -2.66 eV/atom
E_form (uncorrected)   0.44 eV per atom
Density of states at the Fermi level   7.511 states/eV/cell


[9]
The following is a PBE-GGA calculation of a relaxed structure of RhSeI2, from the Alexandria database.

abc: 6.6981 6.6981 6.6981
angles: 112.40 112.40 103.76
Sites, in units of the cell vectors:
Rh 0.0000 0.0000 0.0000
Rh 0.7500 0.2500 0.5000
Se 0.2500 0.7500 0.5000
Se 0.5000 0.5000 0.0000
I 0.0767 0.1250 0.4517
I 0.3750 0.9233 0.0483
I 0.6733 0.6250 0.5483
I 0.8750 0.3267 0.9517

Output
Total energy   -3.05 eV/atom
E_form (uncorrected)   0.43 eV per atom
Density of states at the Fermi level   4.449 states/eV/cell


[10]
The following is a PBE-GGA calculation of a relaxed structure of RhSe2I, from the Alexandria database.

abc: 9.9970 3.7923 11.4167
angles: 90.00 90.00 90.00
Sites, in units of the cell vectors:
Rh 0.0183 0.2500 0.1354
Rh 0.4817 0.7500 0.6354
Rh 0.5183 0.2500 0.3646
Rh 0.9817 0.7500 0.8646
Se 0.1219 0.2500 0.9426
Se 0.1476 0.7500 0.2178
Se 0.3524 0.2500 0.7178
Se 0.3781 0.7500 0.4426
Se 0.6219 0.2500 0.5574
Se 0.6476 0.7500 0.2822
Se 0.8524 0.2500 0.7822
Se 0.8781 0.7500 0.0574
I 0.1125 0.2500 0.6106
I 0.3875 0.7500 0.1106
I 0.6125 0.2500 0.8894
I 0.8875 0.7500 0.3894

Output
Total energy   -4.09 eV/atom
E_form (uncorrected)   -0.12 eV per atom
Density of states at the Fermi level   0.000 states/eV/cell


[11]
The following is a PBE-GGA calculation of a relaxed structure of RhSe2I, from the Alexandria database.

abc: 8.4629 8.4629 6.3603
angles: 94.64 94.64 147.05
Sites, in units of the cell vectors:
Rh 0.1988 0.8012 0.7500
Rh 0.8012 0.1988 0.2500
Se 0.0014 0.3639 0.6551
Se 0.3639 0.0014 0.1551
Se 0.6361 0.9986 0.8449
Se 0.9986 0.6361 0.3449
I 0.4046 0.5954 0.2500
I 0.5954 0.4046 0.7500

Output
Total energy   -4.18 eV/atom
E_form (uncorrected)   -0.21 eV per atom
Density of states at the Fermi level   0.000 states/eV/cell


[12]
The following is a PBE-GGA calculation of a relaxed structure of RhSe2I, from the Alexandria database.

abc: 4.8841 4.8841 4.8841
angles: 60.00 60.00 60.00
Sites, in units of the cell vectors:
Rh 0.0000 0.0000 0.0000
Se 0.2500 0.2500 0.2500
Se 0.7500 0.7500 0.7500
I 0.5000 0.5000 0.5000

Output
Total energy   -3.20 eV/atom
E_form (uncorrected)   0.77 eV per atom
Density of states at the Fermi level   3.919 states/eV/cell


Number 1: relative energy among the computed polymorphs 82.6 meV/atom, magnetic moment 0.00 μB/atom. Number 2: relative energy among the computed polymorphs 63.7 meV/atom, magnetic moment 0.00 μB/atom. Number 3: relative energy among the computed polymorphs 171.1 meV/atom, magnetic moment 0.00 μB/atom. Number 4: relative energy among the computed polymorphs 139.8 meV/atom, magnetic moment 0.00 μB/atom. Number 5: relative energy among the computed polymorphs 389.8 meV/atom, magnetic moment 0.22 μB/atom. Number 6: relative energy among the computed polymorphs 45.9 meV/atom, magnetic moment 0.00 μB/atom. Number 7: relative energy among the computed polymorphs 80.3 meV/atom, magnetic moment 0.00 μB/atom. Number 8: relative energy among the computed polymorphs 0.0 meV/atom, magnetic moment 0.00 μB/atom. Number 9: relative energy among the computed polymorphs 0.0 meV/atom, magnetic moment 0.00 μB/atom. Number 10: relative energy among the computed polymorphs 130.4 meV/atom, magnetic moment 0.00 μB/atom. Number 11: relative energy among the computed polymorphs 42.2 meV/atom, magnetic moment 0.00 μB/atom. Number 12: relative energy among the computed polymorphs 1026.5 meV/atom, magnetic moment 0.00 μB/atom.